First-principles (GGA-PBE) data for a relaxed RbTmHg crystal, as listed in the Open Quantum Materials Database.

Structure (POSCAR):
```
RbTmHg
1.0
0.000 3.789 3.789
3.789 0.000 3.789
3.789 3.789 0.000
Rb Tm Hg
1 1 1
Cartesian
0.000 0.000 0.000
5.683 5.683 5.683
3.789 3.789 3.789
```

## Properties
space group: F-43m, No. 216
volume: 36.3 Å³/atom
total energy: -1.318 eV per atom